Record 1
Below is a relaxed structure of PaGaCo3Ge, with properties calculated at the PBE level.

Computed properties:
total moment = 0.0 μB/f.u.
E_form = -0.1667 eV per atom

a = 5.379 Å, b = 11.293 Å, c = 6.127 Å
α = 90.00°, β = 90.00°, γ = 90.00°
Space group Cmcm (No. 63)
Asymmetric unit:
Pa (0.000, 0.161, 0.250) (multiplicity 4)
Ga (0.000, 0.419, 0.250) (multiplicity 4)
Co (0.000, 0.345, 0.750) (multiplicity 4)
Co (0.230, 0.000, 0.000) (multiplicity 8)
Ge (0.000, 0.136, 0.750) (multiplicity 4)

=====

Record 2
Below is a relaxed structure of KCa2MgH, with properties calculated at the PBE level.

Computed properties:
final energy = -10.10 eV per formula unit
total moment = 0.0 μB/f.u.

a = 5.167 Å, b = 5.167 Å, c = 5.549 Å
α = 90.00°, β = 90.00°, γ = 90.00°
Space group P4/mmm (No. 123)
Asymmetric unit:
K (0.000, 0.000, 0.000) (multiplicity 1)
Ca (0.000, 0.500, 0.500) (multiplicity 2)
Mg (0.500, 0.500, 0.000) (multiplicity 1)
H (0.000, 0.000, 0.500) (multiplicity 1)

=====

Record 3
Below is a relaxed structure of Tm8TcIr2, with properties calculated at the PBE level.

Computed properties:
total moment = 0.0 μB/f.u.
E_form = -0.3864 eV per atom

a = 8.338 Å, b = 12.439 Å, c = 5.618 Å
α = 90.00°, β = 107.64°, γ = 90.00°
Space group Cm (No. 8)
Asymmetric unit:
Tm (0.000, 0.000, 0.000) (multiplicity 2)
Tm (0.057, 0.373, 0.770) (multiplicity 4)
Tm (0.160, 0.127, 0.584) (multiplicity 4)
Tm (0.218, 0.500, 0.370) (multiplicity 2)
Tm (0.355, 0.220, 0.183) (multiplicity 4)
Tc (0.358, 0.000, 0.284) (multiplicity 2)
Ir (0.362, 0.313, 0.688) (multiplicity 4)

=====

Record 4
Below is a relaxed structure of Li2CrIr, with properties calculated at the PBE level.

Computed properties:
energy above the most stable polymorph in this dataset = 22 meV/atom
total moment = 2.5 μB/f.u.
E_form = 0.0423 eV per atom

a = 2.853 Å, b = 4.235 Å, c = 9.087 Å
α = 90.00°, β = 90.00°, γ = 90.00°
Space group Immm (No. 71)
Asymmetric unit:
Li (0.000, 0.000, 0.242) (multiplicity 4)
Cr (0.000, 0.500, 0.000) (multiplicity 2)
Ir (0.000, 0.500, 0.500) (multiplicity 2)

=====

Record 5
Below is a relaxed structure of K3In8Ag3, with properties calculated at the PBE level.

Computed properties:
energy above the most stable polymorph in this dataset = 0 meV/atom
total moment = 0.0 μB/f.u.
E_form = -0.0931 eV per atom

a = 4.939 Å, b = 11.361 Å, c = 14.181 Å
α = 90.00°, β = 90.00°, γ = 90.00°
Space group Immm (No. 71)
Asymmetric unit:
K (0.000, 0.000, 0.000) (multiplicity 2)
K (0.000, 0.000, 0.323) (multiplicity 4)
In (0.000, 0.285, 0.114) (multiplicity 8)
In (0.000, 0.359, 0.319) (multiplicity 8)
Ag (0.000, 0.241, 0.500) (multiplicity 4)
Ag (0.000, 0.500, 0.000) (multiplicity 2)

=====

Record 6
Below is a relaxed structure of ThZrIr, with properties calculated at the PBE level.

Computed properties:
energy above the most stable polymorph in this dataset = 0 meV/atom
total moment = 0.0 μB/f.u.
E_form = -0.6436 eV per atom

a = 8.028 Å, b = 13.833 Å, c = 7.536 Å
α = 90.00°, β = 90.00°, γ = 90.00°
Space group Ima2 (No. 46)
Asymmetric unit:
Th (0.250, 0.012, 0.000) (multiplicity 4)
Th (0.250, 0.212, 0.355) (multiplicity 4)
Th (0.250, 0.700, 0.854) (multiplicity 4)
Zr (0.000, 0.000, 0.352) (multiplicity 4)
Zr (0.027, 0.625, 0.192) (multiplicity 8)
Ir (0.006, 0.661, 0.560) (multiplicity 8)
Ir (0.250, 0.024, 0.609) (multiplicity 4)